Run one
Density functional theory data (PBE) for a relaxed TmLuPu crystal.

As for the density: 11308 kg/m³. As for the density of states at the Fermi level: 2.4843 states/eV per atom. As for the size of the total moment: 6.1 μB/f.u.

It has space group I4mm (No. 107), with a = 3.440 Å, b = 3.440 Å, c = 14.594 Å, α = 90.00°, β = 90.00° and γ = 90.00°. The inequivalent atoms are Tm at (0.000, 0.000, 0.000), Lu at (0.000, 0.000, 0.329) and Pu at (0.000, 0.000, 0.665).



Run two
Density functional theory data (PBE) for a relaxed TmLuPu crystal.

As for the density: 11434 kg/m³. As for the density of states at the Fermi level: 3.1024 states/eV per atom. As for the size of the total moment: 6.1 μB/f.u.

It has space group P-6m2 (No. 187), with a = 5.4953 Å, b = 5.4953 Å, c = 3.2647 Å, α = 90.00°, β = 90.00° and γ = 120.00°. The inequivalent atoms are Tm at (0.0000, 0.0000, 0.0000), Lu at (0.3333, 0.6667, 0.5000) and Pu at (0.6667, 0.3333, 0.5000).



Relative energies, unit meV/atom: run one 0; run two 64



Run one
Density functional theory data (PBE) for a relaxed Tm2LuPu crystal.

As for the density: 10756 kg/m³. As for the density of states at the Fermi level: 3.9488 states/eV per atom. As for the size of the total moment: 6.4 μB/f.u.

It has space group P4/mmm (No. 123), with a = 4.895 Å, b = 4.895 Å, c = 4.876 Å, α = 90.00°, β = 90.00° and γ = 90.00°. The inequivalent atoms are Tm at (0.000, 0.500, 0.000), Lu at (0.000, 0.000, 0.500) and Pu at (0.500, 0.500, 0.500).



Run two
Density functional theory data (PBE) for a relaxed Tm2LuPu crystal.

As for the density: 10782 kg/m³. As for the density of states at the Fermi level: 2.5043 states/eV per atom. As for the size of the total moment: 6.1 μB/f.u.

It has space group P4/mmm (No. 123), with a = 3.434 Å, b = 3.434 Å, c = 9.883 Å, α = 90.00°, β = 90.00° and γ = 90.00°. The inequivalent atoms are Tm at (0.000, 0.000, 0.247), Lu at (0.500, 0.500, 0.500) and Pu at (0.500, 0.500, 0.000).



Relative energies, unit meV/atom: run one 39; run two 0



Run one
Density functional theory data (PBE) for a relaxed YLuPu crystal.

As for the density: 9496 kg/m³. As for the density of states at the Fermi level: 2.3747 states/eV per atom. As for the size of the total moment: 6.2 μB/f.u.

It has space group I4mm (No. 107), with a = 3.476 Å, b = 3.476 Å, c = 14.697 Å, α = 90.00°, β = 90.00° and γ = 90.00°. The inequivalent atoms are Y at (0.000, 0.000, 0.000), Lu at (0.000, 0.000, 0.672) and Pu at (0.000, 0.000, 0.333).



Run two
Density functional theory data (PBE) for a relaxed YLuPu crystal.

As for the density: 9449 kg/m³. As for the density of states at the Fermi level: 3.1542 states/eV per atom. As for the size of the total moment: 6.0 μB/f.u.

It has space group P3m1 (No. 156), with a = 3.4829 Å, b = 3.4829 Å, c = 8.4963 Å, α = 90.00°, β = 90.00° and γ = 120.00°. The inequivalent atoms are Y at (0.0000, 0.0000, 0.0000), Lu at (0.3333, 0.6667, 0.6640) and Pu at (0.6667, 0.3333, 0.3365).



Relative energies, unit meV/atom: run one 0; run two 15



Run one
Density functional theory data (PBE) for a relaxed LuPu2Zn crystal.

As for the density: 11784 kg/m³. As for the density of states at the Fermi level: 3.6786 states/eV per atom. As for the size of the total moment: 11.7 μB/f.u.

It has space group R-3m (No. 166, hexagonal axes), with a = 3.3355 Å, b = 3.3355 Å, c = 31.9598 Å, α = 90.00°, β = 90.00° and γ = 120.00°. The inequivalent atoms are Lu at (0.0000, 0.0000, 0.0000), Pu at (0.0000, 0.0000, 0.2431) and Zn at (0.0000, 0.0000, 0.5000).



Run two
Density functional theory data (PBE) for a relaxed LuPu2Zn crystal.

As for the density: 11930 kg/m³. As for the density of states at the Fermi level: 3.4577 states/eV per atom. As for the size of the total moment: 12.2 μB/f.u.

It has space group P4/mmm (No. 123), with a = 3.315 Å, b = 3.315 Å, c = 9.226 Å, α = 90.00°, β = 90.00° and γ = 90.00°. The inequivalent atoms are Lu at (0.000, 0.000, 0.000), Pu at (0.500, 0.500, 0.279) and Zn at (0.000, 0.000, 0.500).



Relative energies, unit meV/atom: run one 69; run two 0



Run one
Density functional theory data (PBE) for a relaxed LuPu2Zr crystal.

As for the density: 12112 kg/m³. As for the density of states at the Fermi level: 3.0854 states/eV per atom. As for the size of the total moment: 11.8 μB/f.u.

It has space group P4/mmm (No. 123), with a = 3.276 Å, b = 3.276 Å, c = 9.632 Å, α = 90.00°, β = 90.00° and γ = 90.00°. The inequivalent atoms are Lu at (0.000, 0.000, 0.000), Pu at (0.500, 0.500, 0.263) and Zr at (0.000, 0.000, 0.500).



Run two
Density functional theory data (PBE) for a relaxed LuPu2Zr crystal.

As for the density: 12087 kg/m³. As for the density of states at the Fermi level: 3.5976 states/eV per atom. As for the size of the total moment: 11.5 μB/f.u.

It has space group R-3m (No. 166, hexagonal axes), with a = 3.3214 Å, b = 3.3214 Å, c = 32.5362 Å, α = 90.00°, β = 90.00° and γ = 120.00°. The inequivalent atoms are Lu at (0.0000, 0.0000, 0.0000), Pu at (0.0000, 0.0000, 0.2467) and Zr at (0.0000, 0.0000, 0.5000).



Relative energies, unit meV/atom: run one 0; run two 16



Run one
Density functional theory data (PBE) for a relaxed LuPuZr2 crystal.

As for the density: 10064 kg/m³. As for the density of states at the Fermi level: 2.8645 states/eV per atom. As for the size of the total moment: 5.7 μB/f.u.

It has space group P4/mmm (No. 123), with a = 4.649 Å, b = 4.649 Å, c = 4.592 Å, α = 90.00°, β = 90.00° and γ = 90.00°. The inequivalent atoms are Lu at (0.000, 0.000, 0.000), Pu at (0.500, 0.500, 0.000) and Zr at (0.000, 0.500, 0.500).



Run two
Density functional theory data (PBE) for a relaxed LuPuZr2 crystal.

As for the density: 10042 kg/m³. As for the density of states at the Fermi level: 2.3386 states/eV per atom. As for the size of the total moment: 5.4 μB/f.u.

It has space group P4/mmm (No. 123), with a = 3.792 Å, b = 3.792 Å, c = 6.917 Å, α = 90.00°, β = 90.00° and γ = 90.00°. The inequivalent atoms are Lu at (0.000, 0.000, 0.000), Pu at (0.000, 0.000, 0.500) and Zr at (0.500, 0.500, 0.280).



Relative energies, unit meV/atom: run one 0; run two 51



Run one
Density functional theory data (PBE) for a relaxed RbLuTl2 crystal.

As for the density: 8400 kg/m³. As for the density of states at the Fermi level: 0.6205 states/eV per atom. As for the size of the total moment: 0.0 μB/f.u.

It has space group P4/mmm (No. 123), with a = 3.837 Å, b = 3.837 Å, c = 8.985 Å, α = 90.00°, β = 90.00° and γ = 90.00°. The inequivalent atoms are Rb at (0.000, 0.000, 0.000), Lu at (0.000, 0.000, 0.500) and Tl at (0.500, 0.500, 0.302).



Run two
Density functional theory data (PBE) for a relaxed RbLuTl2 crystal.

As for the density: 8279 kg/m³. As for the density of states at the Fermi level: 1.1112 states/eV per atom. As for the size of the total moment: 0.0 μB/f.u.

It has space group R-3m (No. 166, hexagonal axes), with a = 3.7534 Å, b = 3.7534 Å, c = 33.0024 Å, α = 90.00°, β = 90.00° and γ = 120.00°. The inequivalent atoms are Rb at (0.0000, 0.0000, 0.0000), Lu at (0.0000, 0.0000, 0.5000) and Tl at (0.0000, 0.0000, 0.2398).



Relative energies, unit meV/atom: run one 0; run two 151



Run one
Density functional theory data (PBE) for a relaxed LuRh2 crystal.

As for the density: 12107 kg/m³. As for the density of states at the Fermi level: 0.5361 states/eV per atom. As for the size of the total moment: 0.0 μB/f.u.

It has space group Fd-3m (No. 227, origin choice 2), with a = 7.476 Å, b = 7.476 Å, c = 7.476 Å, α = 90.00°, β = 90.00° and γ = 90.00°. The inequivalent atoms are Lu at (0.125, 0.125, 0.125) and Rh at (0.000, 0.000, 0.500).



Run two
Density functional theory data (PBE) for a relaxed LuRh2 crystal.

As for the density: 12190 kg/m³. As for the density of states at the Fermi level: 1.6172 states/eV per atom. As for the size of the total moment: 0.0 μB/f.u.

It has space group I4/mmm (No. 139), with a = 3.345 Å, b = 3.345 Å, c = 9.272 Å, α = 90.00°, β = 90.00° and γ = 90.00°. The inequivalent atoms are Lu at (0.000, 0.000, 0.000) and Rh at (0.000, 0.000, 0.335).



Relative energies, unit meV/atom: run one 0; run two 313